Computed, not measured: a geometry-optimized Tb6NiAu2 structure at the PBE level of DFT.

Summary:
The total moment is 0.0 μB/cell. As for the formation energy from the elements: -0.441 eV per atom. Its density of states at the Fermi level is 19.3 states/eV/cell.

abc: 6.8005 7.2191 10.0628
angles: 90.00 89.71 90.00
With the nearest neighbours (Å) after each atom.
Fractional coordinates of all 18 atoms:
Tb: 0.8631 0.9796 0.2480  1 Ni 2.71, 2 Au 2.96-2.97
Tb: 0.8142 0.6853 0.5613  1 Ni 2.67, 1 Au 2.99
Tb: 0.8296 0.6869 0.9390  1 Ni 2.68, 1 Au 2.95
Tb: 0.6704 0.1869 0.5610  1 Ni 2.68, 1 Au 2.95
Tb: 0.6858 0.1853 0.9387  1 Ni 2.67, 1 Au 2.99
Tb: 0.6369 0.4796 0.2520  1 Ni 2.71, 2 Au 2.96-2.97
Tb: 0.1369 0.0204 0.7520  1 Ni 2.71, 2 Au 2.96-2.97
Tb: 0.1858 0.3147 0.4387  1 Ni 2.67, 1 Au 2.99
Tb: 0.1704 0.3131 0.0610  1 Ni 2.68, 1 Au 2.95
Tb: 0.3296 0.8131 0.4390  1 Ni 2.68, 1 Au 2.95
Tb: 0.3142 0.8147 0.0613  1 Ni 2.67, 1 Au 2.99
Tb: 0.3631 0.5204 0.7480  1 Ni 2.71, 2 Au 2.96-2.97
Ni: 0.5000 0.5000 0.0000  6 Tb 2.67-2.71
Ni: 0.0000 0.0000 0.5000  6 Tb 2.67-2.71
Au: 0.9489 0.3922 0.7520  6 Tb 2.95-3.08
Au: 0.5511 0.8922 0.7480  6 Tb 2.95-3.08
Au: 0.4489 0.1078 0.2520  6 Tb 2.95-3.08
Au: 0.0511 0.6078 0.2480  6 Tb 2.95-3.08